Entry 1:
# YCo3Ge GGA-PBEsol relaxed
# Size of the total moment = 2.37 μB per formula unit
# Total energy = -26.27 eV/cell
# DFT formation energy = 8.7 eV/f.u.
# Relative energy among the computed polymorphs = 1.5398 eV per atom
data_YCo3Ge
_chemical_formula_sum 'Y1 Co3 Ge1'
_cell_length_a 4.5024
_cell_length_b 4.5024
_cell_length_c 4.5024
_cell_angle_alpha 90.00
_cell_angle_beta 90.00
_cell_angle_gamma 90.00
_symmetry_space_group_name_H-M 'P m -3 m'
_symmetry_Int_Tables_number 221
_symmetry_space_group_name_Hall '-P 4 2 3'
loop_
_atom_site_label
_atom_site_type_symbol
_atom_site_fract_x
_atom_site_fract_y
_atom_site_fract_z
Y1 Y 0.0000 0.0000 0.0000
Co1 Co 0.0000 0.0000 0.5000
Ge1 Ge 0.5000 0.5000 0.5000

Entry 2:
# SrHfSbTe2 GGA-PBEsol relaxed
# Size of the total moment = 0.00 μB per formula unit
# Total energy = -27.09 eV/cell
# Formation energy from raw total energies = -0.63 eV/atom
data_SrHfSbTe2
_chemical_formula_sum 'Sr1 Hf1 Sb1 Te2'
_cell_length_a 5.5364
_cell_length_b 5.5364
_cell_length_c 5.4895
_cell_angle_alpha 90.00
_cell_angle_beta 90.00
_cell_angle_gamma 90.00
_symmetry_space_group_name_H-M 'P 4/m m m'
_symmetry_Int_Tables_number 123
_symmetry_space_group_name_Hall '-P 4 2'
loop_
_atom_site_label
_atom_site_type_symbol
_atom_site_fract_x
_atom_site_fract_y
_atom_site_fract_z
Sr1 Sr 0.0000 0.0000 0.0000
Hf1 Hf 0.5000 0.5000 0.5000
Sb1 Sb 0.5000 0.5000 0.0000
Te1 Te 0.0000 0.5000 0.5000

Entry 3:
# SmTlW2O8 GGA-PBEsol relaxed
# Size of the total moment = 0.00 μB per formula unit
# Total energy = -422.64 eV/cell
# Formation energy from raw total energies = -2.36 eV/atom
data_SmTlW2O8
_chemical_formula_sum 'Sm4 Tl4 W8 O32'
_cell_length_a 10.7418
_cell_length_b 10.6032
_cell_length_c 7.5033
_cell_angle_alpha 90.00
_cell_angle_beta 130.56
_cell_angle_gamma 90.00
_symmetry_space_group_name_H-M 'C 1 2/c 1'
_symmetry_Int_Tables_number 15
loop_
_symmetry_equiv_pos_as_xyz
'x,y,z'
'-x,-y,-z'
'-x,y,-z+1/2'
'x,-y,z+1/2'
'x+1/2,y+1/2,z'
'-x+1/2,-y+1/2,-z'
'-x+1/2,y+1/2,-z+1/2'
'x+1/2,-y+1/2,z+1/2'
loop_
_atom_site_label
_atom_site_type_symbol
_atom_site_fract_x
_atom_site_fract_y
_atom_site_fract_z
Sm1 Sm 0.0000 0.2278 0.2500
Tl1 Tl 0.0000 0.2107 0.7500
W1 W 0.1957 0.4974 0.2312
O1 O 0.0241 0.3930 0.4752
O2 O 0.1275 0.0803 0.1854
O3 O 0.1900 0.4309 0.9462
O4 O 0.2297 0.1585 0.6304

Entry 4:
# TcIrW2 GGA-PBEsol relaxed
# Size of the total moment = 0.00 μB per formula unit
# Total energy = -48.99 eV/cell
# DFT formation energy = -0.3 eV/f.u.
# Relative energy among the computed polymorphs = 0.0000 eV per atom
data_TcIrW2
_chemical_formula_sum 'Tc1 Ir1 W2'
_cell_length_a 3.9164
_cell_length_b 3.9164
_cell_length_c 3.8682
_cell_angle_alpha 90.00
_cell_angle_beta 90.00
_cell_angle_gamma 90.00
_symmetry_space_group_name_H-M 'P 4/m m m'
_symmetry_Int_Tables_number 123
_symmetry_space_group_name_Hall '-P 4 2'
loop_
_atom_site_label
_atom_site_type_symbol
_atom_site_fract_x
_atom_site_fract_y
_atom_site_fract_z
Tc1 Tc 0.0000 0.0000 0.0000
Ir1 Ir 0.5000 0.5000 0.0000
W1 W 0.0000 0.5000 0.5000

Entry 5:
# Rb2BeF4 GGA-PBEsol relaxed
# Size of the total moment = 0.09 μB per formula unit
# Total energy = -141.14 eV/cell
# Formation energy from raw total energies = -3.08 eV/atom
# Relative energy among the computed polymorphs = 0.0000 eV per atom
data_Rb2BeF4
_chemical_formula_sum 'Rb8 Be4 F16'
_cell_length_a 7.6304
_cell_length_b 5.8211
_cell_length_c 10.1555
_cell_angle_alpha 90.00
_cell_angle_beta 90.00
_cell_angle_gamma 90.00
_symmetry_space_group_name_H-M 'P n m a'
_symmetry_Int_Tables_number 62
loop_
_symmetry_equiv_pos_as_xyz
'x,y,z'
'-x,-y,-z'
'-x+1/2,-y,z+1/2'
'x+1/2,y,-z+1/2'
'x+1/2,-y+1/2,-z+1/2'
'-x+1/2,y+1/2,z+1/2'
'-x,y+1/2,-z'
'x,-y+1/2,z'
loop_
_atom_site_label
_atom_site_type_symbol
_atom_site_fract_x
_atom_site_fract_y
_atom_site_fract_z
Rb1 Rb 0.0142 0.2500 0.1900
Rb2 Rb 0.1611 0.7500 0.4066
Be1 Be 0.2394 0.7500 0.0813
F1 F 0.0354 0.7500 0.0877
F2 F 0.1888 0.0309 0.6514
F3 F 0.1917 0.2500 0.4359

Entry 6:
# Zn2CrSn GGA-PBEsol relaxed
# Size of the total moment = 3.90 μB per formula unit
# Total energy = -64.72 eV/cell
# DFT formation energy = 1.5 eV/f.u.
data_Zn2CrSn
_chemical_formula_sum 'Zn8 Cr4 Sn4'
_cell_length_a 6.4761
_cell_length_b 6.4761
_cell_length_c 6.4761
_cell_angle_alpha 90.00
_cell_angle_beta 90.00
_cell_angle_gamma 90.00
_symmetry_space_group_name_H-M 'F m -3 m'
_symmetry_Int_Tables_number 225
_symmetry_space_group_name_Hall '-F 4 2 3'
loop_
_atom_site_label
_atom_site_type_symbol
_atom_site_fract_x
_atom_site_fract_y
_atom_site_fract_z
Zn1 Zn 0.2500 0.2500 0.2500
Cr1 Cr 0.0000 0.0000 0.0000
Sn1 Sn 0.0000 0.0000 0.5000